A geometry-optimized KNaTe2 structure. Source: Alexandria via LeMat-Bulk, functional PBE.

Calculated values
- size of the total moment (μB/f.u.) = 0.0
- electronic total energy (eV/atom) = -2.8916
- SG = Pnma
- ΔE to the lowest computed polymorph (eV per atom) = 0.000

The structure in extended XYZ format:
```
32
Lattice="5.026 0.000 0.000 0.000 13.917 0.000 0.000 0.000 17.163" Properties=species:S:1:pos:R:3 pbc="T T T"
Na 3.769 1.353 11.179
K 1.256 8.454 5.385
Na 3.769 0.895 7.636
Te 1.256 2.237 9.268
Te 1.256 1.852 6.004
K 3.769 2.564 15.201
Te 3.769 7.655 8.374
Te 3.769 13.221 16.955
Na 3.769 5.605 2.597
Te 1.256 4.100 3.729
Na 1.256 8.312 14.566
Te 3.769 9.817 13.434
K 1.256 12.422 13.967
Te 1.256 2.859 12.311
Na 1.256 13.022 9.527
Te 3.769 12.065 11.159
K 3.769 5.463 11.778
Te 1.256 0.696 0.208
Te 3.769 11.059 4.852
Te 3.769 11.681 7.895
Te 3.769 9.195 16.476
Te 1.256 5.107 14.586
K 1.256 9.523 10.544
Te 3.769 8.811 2.577
K 3.769 4.394 6.620
K 1.256 11.353 1.962
Na 1.256 12.564 5.984
Te 1.256 6.262 8.790
Na 3.769 6.063 16.218
Te 1.256 4.722 0.687
K 3.769 1.495 3.197
Na 1.256 7.854 0.945
```

---

A geometry-optimized KNaTe2 structure. Source: Alexandria via LeMat-Bulk, functional PBE.

Calculated values
- size of the total moment (μB/f.u.) = 0.0
- electronic total energy (eV/atom) = -2.8482
- SG = Amm2
- ΔE to the lowest computed polymorph (eV per atom) = 0.043

The structure in extended XYZ format:
```
4
Lattice="4.718 0.000 0.000 0.000 5.977 -0.347 0.000 -2.294 5.531" Properties=species:S:1:pos:R:3 pbc="T T T"
K 0.000 -1.853 5.217
Na 2.359 2.288 2.275
Te 2.359 1.140 5.040
Te 2.359 -0.701 2.450
```

---

A geometry-optimized KNa2Te structure. Source: Alexandria via LeMat-Bulk, functional PBE.

Calculated values
- size of the total moment (μB/f.u.) = 0.0
- electronic total energy (eV/atom) = -2.2717
- SG = R-3m

The structure in extended XYZ format:
```
4
Lattice="5.014 0.000 0.000 2.507 4.342 0.000 2.507 1.447 8.334" Properties=species:S:1:pos:R:3 pbc="T T T"
Na 7.521 4.342 7.268
K 5.014 2.895 4.167
Na 2.507 1.447 1.066
Te 0.000 0.000 0.000
```

---

A geometry-optimized K2NaTe structure. Source: Alexandria via LeMat-Bulk, functional PBE.

Calculated values
- size of the total moment (μB/f.u.) = 0.7
- electronic total energy (eV/atom) = -2.0328
- SG = I-42d

The structure in extended XYZ format:
```
8
Lattice="5.333 0.000 0.000 0.000 5.333 0.000 2.666 2.666 12.189" Properties=species:S:1:pos:R:3 pbc="T T T"
K 1.139 4.000 3.047
K 6.666 6.860 9.142
Na 2.666 2.666 0.000
Na 2.666 5.333 6.095
Te 0.000 0.000 0.000
K 4.194 1.333 3.047
Te 5.333 2.666 6.095
K 4.000 3.805 9.142
```